# Rb2SrTmCl6 | Alexandria | GGA-PBE | relaxed
# Formation energy without anion corrections in eV per atom: -2.03
# N(E_F) in states/eV per atom: 0.4544
# Density in g/cm³: 3.2
# Magnetization in μB per formula unit: 0.03
data_Rb2SrTmCl6
_cell_length_a 7.611
_cell_length_b 11.043
_cell_length_c 8.017
_cell_angle_alpha 90.00
_cell_angle_beta 90.00
_cell_angle_gamma 90.00
_symmetry_space_group_name_H-M 'P m m n'
_symmetry_Int_Tables_number 59
loop_
_symmetry_equiv_pos_as_xyz
'x,y,z'
'-x,-y,-z'
'-x+1/2,-y+1/2,z'
'x+1/2,y+1/2,-z'
'x+1/2,-y,-z'
'-x+1/2,y,z'
'-x,y+1/2,-z'
'x,-y+1/2,z'
loop_
_atom_site_label
_atom_site_fract_x
_atom_site_fract_y
_atom_site_fract_z
Rb1 0.250 0.011 0.234
Sr1 0.250 0.250 0.741
Tm1 0.250 0.750 0.757
Cl1 0.006 0.750 0.524
Cl2 0.009 0.750 0.995
Cl3 0.250 0.511 0.760